Record 1
{
  "formula": "Pu5ThGe6",
  "functional": "PBE-GGA",
  "state": "relaxed",
  "lattice": [[4.6572, 0.0000, 0.0000], [0.0000, 8.2871, 0.0000], [-2.2782, 0.0000, 6.9851]],
  "species": ["Pu", "Pu", "Pu", "Pu", "Pu", "Th", "Ge", "Ge", "Ge", "Ge", "Ge", "Ge"],
  "frac_coords": [[0.0000, 0.0000, 0.0000], [0.3277, 0.5000, 0.6568], [0.3330, 0.0000, 0.6669], [0.6670, 0.0000, 0.3331], [0.6723, 0.5000, 0.3432], [0.0000, 0.5000, 0.0000], [0.1688, 0.2470, 0.3364], [0.1688, 0.7530, 0.3364], [0.5000, 0.2464, 0.0000], [0.5000, 0.7536, 0.0000], [0.8312, 0.2470, 0.6636], [0.8312, 0.7530, 0.6636]],
  "m_tot_mub_per_cell": 5.104,
  "formation_enthalpy_0k_ev_per_fu": -5.3,
  "space_group": "P2/m, No. 10",
  "e_tot_ev_per_atom": -9.34
}



Record 2
{
  "formula": "PuThGe2",
  "functional": "PBE-GGA",
  "state": "relaxed",
  "lattice": [[3.3819, 0.0000, 0.0000], [0.0000, 3.3819, 0.0000], [0.0000, 0.0000, 8.1882]],
  "species": ["Pu", "Th", "Ge", "Ge"],
  "frac_coords": [[0.0000, 0.0000, 0.0000], [0.0000, 0.0000, 0.5000], [0.5000, 0.5000, 0.2430], [0.5000, 0.5000, 0.7570]],
  "m_tot_mub_per_cell": 5.474,
  "formation_enthalpy_0k_ev_per_fu": -1.9,
  "space_group": "P4/mmm, No. 123",
  "e_tot_ev_per_atom": -8.23
}



Record 3
{
  "formula": "PuThGe2",
  "functional": "PBE-GGA",
  "state": "relaxed",
  "lattice": [[4.0305, 0.0000, 0.0000], [0.0000, 4.4281, 0.0000], [0.0000, 0.0000, 11.0127]],
  "species": ["Pu", "Pu", "Th", "Th", "Ge", "Ge", "Ge", "Ge"],
  "frac_coords": [[0.0000, 0.0000, 0.0000], [0.0000, 0.5000, 0.5000], [0.5000, 0.0000, 0.2798], [0.5000, 0.5000, 0.7798], [0.0000, 0.0000, 0.7198], [0.0000, 0.5000, 0.2198], [0.5000, 0.0000, 0.5578], [0.5000, 0.5000, 0.0578]],
  "m_tot_mub_per_cell": 12.146,
  "formation_enthalpy_0k_ev_per_fu": -2.2,
  "space_group": "Amm2, No. 38",
  "e_tot_ev_per_atom": -8.30
}



Record 4
{
  "formula": "Pu2Th3Ge3",
  "functional": "PBE-GGA",
  "state": "relaxed",
  "lattice": [[8.9622, 0.0000, 0.0000], [-4.4811, 7.7615, 0.0000], [0.0000, 0.0000, 6.0013]],
  "species": ["Pu", "Pu", "Pu", "Pu", "Th", "Th", "Th", "Th", "Th", "Th", "Ge", "Ge", "Ge", "Ge", "Ge", "Ge"],
  "frac_coords": [[0.3333, 0.6667, 0.0000], [0.3333, 0.6667, 0.5000], [0.6667, 0.3333, 0.0000], [0.6667, 0.3333, 0.5000], [0.0000, 0.2638, 0.2500], [0.0000, 0.7362, 0.7500], [0.2638, 0.0000, 0.2500], [0.2638, 0.2638, 0.7500], [0.7362, 0.0000, 0.7500], [0.7362, 0.7362, 0.2500], [0.0000, 0.3829, 0.7500], [0.0000, 0.6171, 0.2500], [0.3829, 0.0000, 0.7500], [0.3829, 0.3829, 0.2500], [0.6171, 0.0000, 0.2500], [0.6171, 0.6171, 0.7500]],
  "m_tot_mub_per_cell": 24.583,
  "formation_enthalpy_0k_ev_per_fu": -4.3,
  "space_group": "P6_3/mcm, No. 193",
  "e_tot_ev_per_atom": -8.64
}



Record 5
{
  "formula": "PuThGe2",
  "functional": "PBE-GGA",
  "state": "relaxed",
  "lattice": [[4.3621, 0.0000, 0.0000], [0.0000, 4.3621, 0.0000], [0.0000, 0.0000, 21.6030]],
  "species": ["Pu", "Pu", "Pu", "Pu", "Th", "Th", "Th", "Th", "Ge", "Ge", "Ge", "Ge", "Ge", "Ge", "Ge", "Ge"],
  "frac_coords": [[0.0000, 0.0000, 0.0000], [0.0000, 0.5000, 0.2500], [0.5000, 0.0000, 0.7500], [0.5000, 0.5000, 0.5000], [0.0000, 0.0000, 0.3256], [0.0000, 0.5000, 0.5756], [0.5000, 0.0000, 0.0756], [0.5000, 0.5000, 0.8256], [0.0000, 0.0000, 0.6695], [0.0000, 0.0000, 0.8399], [0.0000, 0.5000, 0.0899], [0.0000, 0.5000, 0.9195], [0.5000, 0.0000, 0.4195], [0.5000, 0.0000, 0.5899], [0.5000, 0.5000, 0.1695], [0.5000, 0.5000, 0.3399]],
  "m_tot_mub_per_cell": 0.075,
  "formation_enthalpy_0k_ev_per_fu": 2.2,
  "space_group": "I4_1md, No. 109",
  "e_tot_ev_per_atom": -7.20
}



Record 6
{
  "formula": "PuThGe2",
  "functional": "PBE-GGA",
  "state": "relaxed",
  "lattice": [[4.7764, 0.0000, 0.0000], [0.0000, 4.7764, 0.0000], [0.0000, 0.0000, 4.1093]],
  "species": ["Pu", "Th", "Ge", "Ge"],
  "frac_coords": [[0.0000, 0.0000, 0.0000], [0.5000, 0.5000, 0.0000], [0.0000, 0.5000, 0.5000], [0.5000, 0.0000, 0.5000]],
  "m_tot_mub_per_cell": 5.782,
  "formation_enthalpy_0k_ev_per_fu": -1.9,
  "space_group": "P4/mmm, No. 123",
  "e_tot_ev_per_atom": -8.22
}



Record 7
{
  "formula": "PuTiGe2",
  "functional": "PBE-GGA",
  "state": "relaxed",
  "lattice": [[6.7347, 0.0000, 0.0000], [0.0000, 6.7347, 0.0000], [0.0000, 0.0000, 6.7347]],
  "species": ["Pu", "Pu", "Pu", "Pu", "Ti", "Ti", "Ti", "Ti", "Ge", "Ge", "Ge", "Ge", "Ge", "Ge", "Ge", "Ge"],
  "frac_coords": [[0.0000, 0.0000, 0.0000], [0.0000, 0.5000, 0.5000], [0.5000, 0.0000, 0.5000], [0.5000, 0.5000, 0.0000], [0.0000, 0.0000, 0.5000], [0.0000, 0.5000, 0.0000], [0.5000, 0.0000, 0.0000], [0.5000, 0.5000, 0.5000], [0.2500, 0.2500, 0.2500], [0.2500, 0.2500, 0.7500], [0.2500, 0.7500, 0.2500], [0.2500, 0.7500, 0.7500], [0.7500, 0.2500, 0.2500], [0.7500, 0.2500, 0.7500], [0.7500, 0.7500, 0.2500], [0.7500, 0.7500, 0.7500]],
  "m_tot_mub_per_cell": 22.330,
  "de_polymorph_mev_per_atom": 136,
  "formation_enthalpy_0k_ev_per_fu": -1.3,
  "space_group": "Fm-3m, No. 225",
  "e_tot_ev_per_atom": -8.18
}



Record 8
{
  "formula": "Pu2TiGe3",
  "functional": "PBE-GGA",
  "state": "relaxed",
  "lattice": [[7.5779, -2.8802, 0.0000], [7.5779, 2.8802, 0.0000], [-0.8322, 0.0000, 5.4392]],
  "species": ["Pu", "Pu", "Pu", "Pu", "Ti", "Ti", "Ge", "Ge", "Ge", "Ge", "Ge", "Ge"],
  "frac_coords": [[0.0465, 0.2973, 0.1040], [0.2973, 0.0465, 0.6040], [0.7027, 0.9535, 0.3960], [0.9535, 0.7027, 0.8960], [0.3719, 0.6281, 0.7500], [0.6281, 0.3719, 0.2500], [0.1306, 0.8694, 0.2500], [0.2311, 0.4810, 0.4105], [0.4810, 0.2311, 0.9105], [0.5190, 0.7689, 0.0895], [0.7689, 0.5190, 0.5895], [0.8694, 0.1306, 0.7500]],
  "m_tot_mub_per_cell": 21.593,
  "formation_enthalpy_0k_ev_per_fu": -2.3,
  "space_group": "C2/c, No. 15",
  "e_tot_ev_per_atom": -8.79
}